BiPRuAuSN: relaxed, GGA-PBE.

The structure belongs to space group P1 (No. 1); the cell edges are 3.6049, 5.4400 and 6.4978 Å and the angles 84.21°, 76.62° and 87.84°. The distinct sites, in fractional coordinates, are Bi at (0.0000, 0.0000, 0.0000), P at (0.1461, 0.6398, 0.6011), Ru at (0.5432, 0.6107, 0.8242), Au at (0.2996, 0.4842, 0.2750), S at (0.8861, 0.9961, 0.6040) and N at (0.4438, 0.3022, 0.9925).

The offset from the most stable computed form is 132 meV/atom. Its calculated volume is 123.32 Å³/f.u. The total DFT energy (no corrections) comes out at -5.541 eV per atom. The total magnetization is 0.0 Bohr magnetons per cell.

***

BiPRuAuSN: relaxed, GGA-PBE.

The structure belongs to space group P1 (No. 1); the cell edges are 3.5061, 5.0961 and 6.9860 Å and the angles 106.16°, 90.24° and 110.12°. The distinct sites, in fractional coordinates, are Bi at (0.0000, 0.0000, 0.0000), P at (0.1625, 0.3313, 0.6875), Ru at (0.5095, 0.0256, 0.6694), Au at (0.7007, 0.4114, 0.4417), S at (0.3332, 0.6793, 0.3202) and N at (0.3409, 0.6855, 0.8157).

The offset from the most stable computed form is 44 meV/atom. Its calculated volume is 111.88 Å³/f.u. The total DFT energy (no corrections) comes out at -5.628 eV per atom. The total magnetization is 0.0 Bohr magnetons per cell.

***

BiPRuAuSN: relaxed, GGA-PBE.

The structure belongs to space group P1 (No. 1); the cell edges are 3.8336, 4.5139 and 8.0155 Å and the angles 99.50°, 90.98° and 113.30°. The distinct sites, in fractional coordinates, are Bi at (0.0000, 0.0000, 0.0000), P at (0.4738, 0.9558, 0.6814), Ru at (0.1166, 0.2548, 0.6953), Au at (0.0091, 0.6799, 0.4492), S at (0.7160, 0.4179, 0.1721) and N at (0.3742, 0.7003, 0.8238).

The offset from the most stable computed form is 21 meV/atom. Its calculated volume is 125.13 Å³/f.u. The total DFT energy (no corrections) comes out at -5.651 eV per atom. The total magnetization is 0.0 Bohr magnetons per cell.

***

BiPRuAuSN: relaxed, GGA-PBE.

The structure belongs to space group Pm (No. 6); the cell edges are 4.3827, 3.6652 and 7.1865 Å and the angles 90.00°, 91.91° and 90.00°. The distinct sites, in fractional coordinates, are Bi at (0.0000, 0.0000, 0.0000), P at (0.4857, 0.5000, 0.6527), Ru at (0.8012, 0.0000, 0.6353), Au at (0.3749, 0.5000, 0.1722), S at (0.6725, 0.0000, 0.3181) and N at (0.1219, 0.5000, 0.6372).

The offset from the most stable computed form is 80 meV/atom. Its calculated volume is 115.38 Å³/f.u. The total DFT energy (no corrections) comes out at -5.592 eV per atom. The total magnetization is 0.0 Bohr magnetons per cell.

***

BiPAuSN: relaxed, GGA-PBE.

The structure belongs to space group Cm (No. 8); the cell edges are 8.8755, 3.7144 and 7.0848 Å and the angles 90.00°, 90.21° and 90.00°. The distinct sites, in fractional coordinates, are Bi at (0.0000, 0.0000, 0.0000), P at (0.2448, 0.0000, 0.2762), Au at (0.2114, 0.5000, 0.4888), S at (0.1944, 0.5000, 0.8250) and N at (0.4076, 0.0000, 0.1794).

The offset from the most stable computed form is 57 meV/atom. Its calculated volume is 116.78 Å³/f.u. The total DFT energy (no corrections) comes out at -4.899 eV per atom. The total magnetization is 0.0 Bohr magnetons per cell.

***

BiPAuSN: relaxed, GGA-PBE.

The structure belongs to space group P1 (No. 1); the cell edges are 4.7322, 4.9898 and 5.6425 Å and the angles 69.26°, 65.23° and 89.63°. The distinct sites, in fractional coordinates, are Bi at (0.0000, 0.0000, 0.0000), P at (0.6398, 0.6965, 0.8369), Au at (0.9769, 0.5090, 0.5138), S at (0.3492, 0.3201, 0.1948) and N at (0.4670, 0.9526, 0.7261).

The offset from the most stable computed form is 91 meV/atom. Its calculated volume is 111.55 Å³/f.u. The total DFT energy (no corrections) comes out at -4.866 eV per atom. The total magnetization is 0.0 Bohr magnetons per cell.

***

BiPAuSN: relaxed, GGA-PBE.

The structure belongs to space group Pm (No. 6); the cell edges are 5.7732, 2.9741 and 5.9532 Å and the angles 90.00°, 113.00° and 90.00°. The distinct sites, in fractional coordinates, are Bi at (0.0000, 0.0000, 0.0000), P at (0.5730, 0.5000, 0.3639), Au at (0.0153, 0.5000, 0.5034), S at (0.4743, 0.5000, 0.6693) and N at (0.4456, 0.0000, 0.2058).

The offset from the most stable computed form is 40 meV/atom. Its calculated volume is 94.09 Å³/f.u. The total DFT energy (no corrections) comes out at -4.916 eV per atom. The total magnetization is 0.0 Bohr magnetons per cell.

***

BiPAuSN: relaxed, GGA-PBE.

The structure belongs to space group P1 (No. 1); the cell edges are 4.2054, 5.3040 and 5.5129 Å and the angles 102.02°, 90.02° and 90.20°. The distinct sites, in fractional coordinates, are Bi at (0.0000, 0.0000, 0.0000), P at (0.9990, 0.6372, 0.4265), Au at (0.4995, 0.8066, 0.6474), S at (0.9964, 0.2597, 0.4782) and N at (0.9990, 0.6415, 0.1384).

The offset from the most stable computed form is 97 meV/atom. Its calculated volume is 120.27 Å³/f.u. The total DFT energy (no corrections) comes out at -4.860 eV per atom. The total magnetization is 0.0 Bohr magnetons per cell.

***

BiPAuSN: relaxed, GGA-PBE.

The structure belongs to space group R3m (No. 160, hexagonal axes); the cell edges are 3.9030, 3.9030 and 24.0910 Å and the angles 90.00°, 90.00° and 120.00°. The distinct sites, in fractional coordinates, are Bi at (0.0000, 0.0000, 0.0000), P at (0.0000, 0.0000, 0.2150), Au at (0.0000, 0.0000, 0.8416), S at (0.0000, 0.0000, 0.7342) and N at (0.0000, 0.0000, 0.2817).

The offset from the most stable computed form is 6 meV/atom. Its calculated volume is 105.94 Å³/f.u. The total DFT energy (no corrections) comes out at -4.950 eV per atom. The total magnetization is 0.0 Bohr magnetons per cell.

***

BiPAuSN: relaxed, GGA-PBE.

The structure belongs to space group Cm (No. 8); the cell edges are 9.8294, 3.5118 and 6.4819 Å and the angles 90.00°, 106.34° and 90.00°. The distinct sites, in fractional coordinates, are Bi at (0.0000, 0.0000, 0.0000), P at (0.0649, 0.0000, 0.4940), Au at (0.3897, 0.0000, 0.4273), S at (0.2055, 0.0000, 0.8034) and N at (0.1614, 0.0000, 0.3278).

The offset from the most stable computed form is 108 meV/atom. Its calculated volume is 107.36 Å³/f.u. The total DFT energy (no corrections) comes out at -4.848 eV per atom. The total magnetization is 0.0 Bohr magnetons per cell.

***

BiPAuSN: relaxed, GGA-PBE.

The structure belongs to space group Cm (No. 8); the cell edges are 10.6696, 3.9333 and 5.7516 Å and the angles 90.00°, 103.88° and 90.00°. The distinct sites, in fractional coordinates, are Bi at (0.0000, 0.0000, 0.0000), P at (0.1938, 0.0000, 0.6215), Au at (0.1058, 0.5000, 0.3758), S at (0.3894, 0.0000, 0.6166) and N at (0.1791, 0.0000, 0.8905).

The offset from the most stable computed form is 88 meV/atom. Its calculated volume is 117.16 Å³/f.u. The total DFT energy (no corrections) comes out at -4.869 eV per atom. The total magnetization is 0.0 Bohr magnetons per cell.

***

BiPAuSN: relaxed, GGA-PBE.

The structure belongs to space group Cm (No. 8); the cell edges are 6.6876, 3.7764 and 8.0680 Å and the angles 90.00°, 104.14° and 90.00°. The distinct sites, in fractional coordinates, are Bi at (0.0000, 0.0000, 0.0000), P at (0.2890, 0.5000, 0.3877), Au at (0.1592, 0.0000, 0.5213), S at (0.1060, 0.5000, 0.7711) and N at (0.2306, 0.5000, 0.1828).

The offset from the most stable computed form is 64 meV/atom. Its calculated volume is 98.79 Å³/f.u. The total DFT energy (no corrections) comes out at -4.893 eV per atom. The total magnetization is 0.0 Bohr magnetons per cell.

***

Question: Look up the offset from the most stable computed form of the second one.
Answer: 44 meV/atom

***

Question: total DFT energy (no corrections) of number 5 (BiPAuSN)?
Answer: -4.899 eV per atom

***

Question: Look up the offset from the most stable computed form of the seventh one.
Answer: 40 meV/atom

***

Question: Number 2 is which compound?
Answer: BiPRuAuSN